Here is a relaxed structure of La3YPb2S from the Alexandria database. Energies are from PBE.

## Properties
M_tot: 0.000 μB/f.u.
Formation energy (no corrections): -0.89 eV/atom
Space-group type: Immm (71)

abc: 5.1673 5.3502 9.2864
angles: 106.74 106.15 90.00
With the nearest neighbours (Å) after each atom.
Atoms (fractional coordinates):
S 0.0000 0.0000 0.0000  2 Y 2.58, 4 La 2.68-2.88
La 0.1695 0.1695 0.3389  1 S 2.88
Y 0.5000 0.0000 0.0000  2 S 2.58
Pb 0.6348 0.6348 0.2695  3 La 3.33-3.45, 2 Y 3.52
La 0.8305 0.8305 0.6611  1 S 2.88
La 0.0000 0.5000 0.0000  2 S 2.68
Pb 0.3652 0.3652 0.7305  3 La 3.33-3.45, 2 Y 3.52